Compound: CoReAg
Source: Alexandria
Functional: PBE
Structure: optimized geometry

calculated formation energy	0.4694	eV/atom
Fermi-level density of states	13.26	states/eV per cell

Cell: 2.902 4.452 13.763 Å, 90.00 90.00 90.00°
Space group Fmm2 (No. 42)
Asymmetric unit:
Co 0.000 0.000 0.000 (multiplicity 4)
Re 0.000 0.000 0.355 (multiplicity 4)
Ag 0.000 0.000 0.669 (multiplicity 4)